# 1
Crystalline KIO4 at its relaxed geometry. Source: Alexandria via LeMat-Bulk, functional PBE.

The formation energy from raw total energies is -4.03 eV/f.u. The density is 3.3 g/cm3. The value obtained for the volume is 233.99 Å³ per cell. As for the final energy: -4.418 eV per atom. The density of states at the Fermi level is 0.000 states/eV per atom.

The structure belongs to space group P-1 (No. 2); the cell edges are 5.312, 6.141 and 7.498 Å and the angles 99.32°, 103.98° and 90.20°. Symmetry generates all atoms from K at (0.061, 0.309, 0.244), I at (0.442, 0.195, 0.770), O at (0.210, 0.772, 0.182), O at (0.293, 0.395, 0.631), O at (0.334, 0.922, 0.648) and O at (0.358, 0.244, 0.991).

***

# 2
Crystalline MnAgBIr2 at its relaxed geometry. Source: Alexandria via LeMat-Bulk, functional PBE.

The density is 8.8 g/cm3. The value obtained for the volume is 104.90 Å³ per cell. The calculated formation energy is 3175 meV/atom. As for the final energy: -4.109 eV per atom. The density of states at the Fermi level is 2.031 states/eV per atom.

The structure belongs to space group P4/mmm (No. 123); the cell edges are 4.827, 4.827 and 4.503 Å and the angles 90.00°, 90.00° and 90.00°. Symmetry generates all atoms from Mn at (0.000, 0.000, 0.000), Ag at (0.000, 0.000, 0.500), B at (0.500, 0.500, 0.000) and Ir at (0.000, 0.500, 0.500).

***

# 3
Crystalline Y2Tl2Hg at its relaxed geometry. Source: Alexandria via LeMat-Bulk, functional PBE.

The excess energy over the best structure of this formula in the dataset comes out at 0.086 eV/atom. The density is 9.0 g/cm3. The value obtained for the volume is 291.71 Å³ per cell. The calculated formation energy is -234 meV/atom. As for the final energy: -3.827 eV per atom. The density of states at the Fermi level is 0.841 states/eV per atom.

The structure belongs to space group P4/mbm (No. 127); the cell edges are 8.375, 8.375 and 4.159 Å and the angles 90.00°, 90.00° and 90.00°. Symmetry generates all atoms from Y at (0.165, 0.335, 0.000), Tl at (0.138, 0.638, 0.500) and Hg at (0.000, 0.000, 0.000).

***

# 4
Crystalline PuTl2Se3 at its relaxed geometry. Source: Alexandria via LeMat-Bulk, functional PBE.

The excess energy over the best structure of this formula in the dataset comes out at 0.000 eV/atom. The formation energy from raw total energies is -5.15 eV/f.u. The density is 8.0 g/cm3. The value obtained for the volume is 736.48 Å³ per cell. As for the final energy: -5.779 eV per atom. The density of states at the Fermi level is 1.516 states/eV per atom.

The structure belongs to space group C2/m (No. 12); the cell edges are 7.538, 12.884 and 7.956 Å and the angles 90.00°, 107.63° and 90.00°. Symmetry generates all atoms from Pu at (0.000, 0.169, 0.000), Tl at (0.000, 0.000, 0.500), Tl at (0.000, 0.345, 0.500), Tl at (0.000, 0.500, 0.000), Se at (0.194, 0.000, 0.200) and Se at (0.240, 0.187, 0.785).

***

# 5
Crystalline Pu4RuAu at its relaxed geometry. Source: Alexandria via LeMat-Bulk, functional PBE.

The density is 13.1 g/cm3. The value obtained for the volume is 161.41 Å³ per cell. The calculated formation energy is 14 meV/atom. As for the final energy: -11.633 eV per atom. The density of states at the Fermi level is 3.826 states/eV per atom.

The structure belongs to space group P4/mmm (No. 123); the cell edges are 4.753, 4.753 and 7.144 Å and the angles 90.00°, 90.00° and 90.00°. Symmetry generates all atoms from Pu at (0.000, 0.500, 0.231), Ru at (0.000, 0.000, 0.000) and Au at (0.500, 0.500, 0.500).

***

# 6
Crystalline CsSb at its relaxed geometry. Source: Alexandria via LeMat-Bulk, functional PBE.

The excess energy over the best structure of this formula in the dataset comes out at 0.023 eV/atom. The formation energy from raw total energies is -0.88 eV/f.u. The density is 4.3 g/cm3. The value obtained for the volume is 195.71 Å³ per cell. As for the final energy: -2.929 eV per atom. The density of states at the Fermi level is 0.254 states/eV per atom.

The structure belongs to space group P2_1/m (No. 11); the cell edges are 6.117, 4.700 and 7.462 Å and the angles 90.00°, 114.17° and 90.00°. Symmetry generates all atoms from Cs at (0.136, 0.250, 0.273) and Sb at (0.436, 0.250, 0.872).